Entry from Alexandria: a relaxed structure of SrDyGa2 (PBE).

Unit cell a=3.8010 b=3.8010 c=27.3648 alpha=90.00 beta=90.00 gamma=120.00
Space group R-3m (No. 166, hexagonal axes)
One atom of each set of equivalent atoms:
Sr 0.0000 0.0000 0.0000 [3 per cell]
Dy 0.0000 0.0000 0.5000 [3 per cell]
Ga 0.0000 0.0000 0.2444 [6 per cell]

Results
As for the calculated formation energy: -0.243 eV/atom.


Entry from Alexandria: a relaxed structure of Ac2Ga5Ru2 (PBE).

Unit cell a=4.7744 b=4.7744 c=9.6730 alpha=90.00 beta=90.00 gamma=90.00
Space group P4/mmm (No. 123)
One atom of each set of equivalent atoms:
Ac 0.0000 0.0000 0.0000 [1 per cell]
Ac 0.0000 0.0000 0.5000 [1 per cell]
Ga 0.0000 0.5000 0.2355 [4 per cell]
Ga 0.5000 0.5000 0.5000 [1 per cell]
Ru 0.5000 0.5000 0.2583 [2 per cell]

Results
As for the calculated formation energy: -0.364 eV/atom.


Entry from Alexandria: a relaxed structure of Na2ScMnP (PBE).

Unit cell a=5.2974 b=5.2974 c=4.4837 alpha=90.00 beta=90.00 gamma=90.00
Space group P4/mmm (No. 123)
One atom of each set of equivalent atoms:
Na 0.0000 0.5000 0.0000 [2 per cell]
Sc 0.0000 0.0000 0.5000 [1 per cell]
Mn 0.5000 0.5000 0.5000 [1 per cell]
P 0.5000 0.5000 0.0000 [1 per cell]

Results
As for the calculated formation energy: 0.386 eV/atom.


Entry from Alexandria: a relaxed structure of Tb2HoLu (PBE).

Unit cell a=4.9818 b=4.9818 c=4.9627 alpha=90.00 beta=90.00 gamma=90.00
Space group P4/mmm (No. 123)
One atom of each set of equivalent atoms:
Tb 0.0000 0.5000 0.0000 [2 per cell]
Ho 0.0000 0.0000 0.5000 [1 per cell]
Lu 0.5000 0.5000 0.5000 [1 per cell]

Results
The value obtained for the energy above the most stable polymorph in this dataset is 0.001 eV/atom. As for the calculated formation energy: 0.024 eV/atom.


Entry from Alexandria: a relaxed structure of BaCaSe2 (PBE).

Unit cell a=7.1042 b=7.1042 c=13.3012 alpha=90.00 beta=90.00 gamma=90.00
Space group I-42d (No. 122)
One atom of each set of equivalent atoms:
Ba 0.0000 0.0000 0.0000 [4 per cell]
Ca 0.0000 0.0000 0.5000 [4 per cell]
Se 0.2120 0.2500 0.6250 [8 per cell]

Results
The formation energy (no corrections) is -1780 meV/atom. The value obtained for the energy above the most stable polymorph in this dataset is 0.220 eV/atom.


Entry from Alexandria: a relaxed structure of PmEr2Pd3 (PBE).

Unit cell a=3.5025 b=3.5025 c=10.6387 alpha=90.00 beta=90.00 gamma=90.00
Space group P4/mmm (No. 123)
One atom of each set of equivalent atoms:
Pm 0.0000 0.0000 0.0000 [1 per cell]
Er 0.0000 0.0000 0.3376 [2 per cell]
Pd 0.5000 0.5000 0.1826 [2 per cell]
Pd 0.5000 0.5000 0.5000 [1 per cell]

Results
As for the calculated formation energy: -0.868 eV/atom.


no.,energy (eV/atom),size of the total moment (μB/f.u.),mass density (g cm⁻³)
1,-3.33,0.0,5.668
2,-5.02,0.0,7.567
3,-4.32,2.6,2.334
4,-4.57,0.0,8.868
5,-4.50,0.0,3.318
6,-5.78,0.0,10.163